[1]
The following is a GGA-PBE calculation of Li2CePuF8 after structural relaxation, from Alexandria via LeMat-Bulk.

Results
crystal system: tetragonal
E_form (uncorrected): -3530 meV/atom

Unit cell a=5.365 b=5.365 c=6.858 alpha=113.03 beta=113.03 gamma=90.00
Sites, in units of the cell vectors:
F1 0.146 0.582 0.838
F2 0.691 0.256 0.838
Li1 0.250 0.750 0.500
Pu1 0.750 0.250 0.500
F3 0.744 0.854 0.162
Ce1 0.000 0.000 0.000
F4 0.328 0.941 0.334
F5 0.059 0.993 0.666
Li2 0.500 0.500 0.000
F6 0.418 0.309 0.162
F7 0.606 0.672 0.666
F8 0.007 0.394 0.334



[2]
The following is a GGA-PBE calculation of Hf2AlPt after structural relaxation, from Alexandria via LeMat-Bulk.

Results
crystal system: tetragonal
E_form: -0.6656 eV per atom

Unit cell a=4.127 b=4.200 c=4.200 alpha=90.00 beta=90.00 gamma=90.00
Sites, in units of the cell vectors:
Pt1 0.500 0.000 0.000
Hf1 0.000 0.000 0.500
Al1 0.500 0.500 0.500
Hf2 0.000 0.500 0.000



[3]
The following is a GGA-PBE calculation of Rb5AgSeO2 after structural relaxation, from Alexandria via LeMat-Bulk.

Results
crystal system: tetragonal
E_form (uncorrected): -967 meV/atom

Unit cell a=5.639 b=5.639 c=9.617 alpha=90.00 beta=90.00 gamma=90.00
Sites, in units of the cell vectors:
Se1 0.500 0.500 0.500
Ag1 0.000 0.000 0.000
Rb1 0.500 0.000 0.250
O1 0.000 0.000 0.787
Rb2 0.000 0.500 0.750
Rb3 0.000 0.500 0.250
Rb4 0.500 0.000 0.750
Rb5 0.000 0.000 0.500
O2 0.000 0.000 0.213



[4]
The following is a GGA-PBE calculation of NiAs2Se after structural relaxation, from Alexandria via LeMat-Bulk.

Results
crystal system: monoclinic
E_form (uncorrected): 152 meV/atom

Unit cell a=5.946 b=5.946 c=4.149 alpha=70.08 beta=70.08 gamma=31.57
Sites, in units of the cell vectors:
Ni1 0.750 0.750 0.750
As1 0.427 0.427 0.570
Se1 0.250 0.250 0.250
As2 0.073 0.073 0.930



[5]
The following is a GGA-PBE calculation of Hf4MgBe2 after structural relaxation, from Alexandria via LeMat-Bulk.

Results
crystal system: tetragonal
E_form: 1.1220 eV per atom

Unit cell a=4.935 b=4.935 c=7.046 alpha=69.50 beta=69.50 gamma=90.00
Sites, in units of the cell vectors:
Be1 0.584 0.584 0.831
Hf1 0.000 0.500 0.000
Hf2 0.784 0.784 0.433
Be2 0.416 0.416 0.169
Hf3 0.500 0.000 0.000
Hf4 0.216 0.216 0.567
Mg1 0.000 0.000 0.000



[6]
The following is a GGA-PBE calculation of TaMnRe2 after structural relaxation, from Alexandria via LeMat-Bulk.

Results
crystal system: orthorhombic
E_form: 0.0785 eV per atom

Unit cell a=2.725 b=2.725 c=8.554 alpha=90.00 beta=90.00 gamma=108.88
Sites, in units of the cell vectors:
Mn1 0.500 0.500 0.759
Re1 0.500 0.500 0.244
Re2 0.000 0.000 0.987
Ta1 0.000 0.000 0.510



[7]
The following is a GGA-PBE calculation of Cs2NaScBr6 after structural relaxation, from Alexandria via LeMat-Bulk.

Results
crystal system: cubic
E_form (uncorrected): -1762 meV/atom

Unit cell a=7.958 b=7.958 c=7.958 alpha=60.00 beta=60.00 gamma=60.00
Sites, in units of the cell vectors:
Br1 0.237 0.237 0.763
Cs1 0.250 0.250 0.250
Br2 0.237 0.763 0.763
Cs2 0.750 0.750 0.750
Sc1 0.000 0.000 0.000
Br3 0.763 0.237 0.237
Na1 0.500 0.500 0.500
Br4 0.763 0.763 0.237
Br5 0.763 0.237 0.763
Br6 0.237 0.763 0.237



[8]
The following is a GGA-PBE calculation of Np6InS12 after structural relaxation, from Alexandria via LeMat-Bulk.

Results
crystal system: trigonal
E_form (uncorrected): -1240 meV/atom

Unit cell a=7.830 b=7.830 c=7.830 alpha=100.17 beta=100.17 gamma=100.17
Sites, in units of the cell vectors:
Np1 0.866 0.696 0.381
S1 0.052 0.939 0.677
S2 0.423 0.572 0.823
S3 0.948 0.061 0.323
S4 0.428 0.177 0.577
S5 0.577 0.428 0.177
Np2 0.304 0.619 0.134
S6 0.677 0.052 0.939
Np3 0.381 0.866 0.696
Np4 0.134 0.304 0.619
In1 0.000 0.000 0.000
S7 0.323 0.948 0.061
S8 0.939 0.677 0.052
S9 0.572 0.823 0.423
Np5 0.619 0.134 0.304
S10 0.177 0.577 0.428
S11 0.823 0.423 0.572
Np6 0.696 0.381 0.866
S12 0.061 0.323 0.948



Values of DFT total energy, in order: -6.79 -8.09 -3.31 -4.49 -5.86 -11.40 -3.70 -8.08, all in eV per atom.